DFT (PBE-GGA) results for a relaxed structure of Ca3ZnGe2Au9.

Cell: 6.7107 6.7107 9.5111 Å, 90.00 90.00 120.00°
With the nearest neighbours (Å) after each atom.
Element x y z (fractional)
Au 0.8593 0.7186 0.7098  1 Ge 2.47, 1 Zn 2.58
Au 0.5000 0.0000 0.0000  2 Ge 2.59
Ca 0.0000 0.0000 0.0000  12 Au 3.21-3.36
Au 0.1407 0.2814 0.2902  1 Ge 2.47, 1 Zn 2.58
Zn 0.0000 0.0000 0.5000  6 Au 2.58
Au 0.7186 0.8593 0.2902  1 Ge 2.47, 1 Zn 2.58
Au 0.5000 0.5000 0.0000  2 Ge 2.59
Au 0.1407 0.8593 0.2902  1 Ge 2.47, 1 Zn 2.58
Au 0.2814 0.1407 0.7098  1 Ge 2.47, 1 Zn 2.58
Ge 0.3333 0.6667 0.1803  6 Au 2.47-2.59
Ge 0.6667 0.3333 0.8197  6 Au 2.47-2.59
Au 0.0000 0.5000 0.0000  2 Ge 2.59
Ca 0.3333 0.6667 0.7266  9 Au 3.24-3.37
Ca 0.6667 0.3333 0.2734  9 Au 3.24-3.37
Au 0.8593 0.1407 0.7098  1 Ge 2.47, 1 Zn 2.58

Output
Total magnetic moment in μB per formula unit: 0.000
Energy relative to the elements in eV per atom: -0.315
SG: P-3m1 (164)
Raw total energy in eV/atom: -3.383

---

DFT (PBE-GGA) results for a relaxed structure of TiZn2Si.

Cell: 4.0307 3.7802 3.7802 Å, 90.00 90.00 90.00°
With the nearest neighbours (Å) after each atom.
Element x y z (fractional)
Si 0.5000 0.0000 0.0000  4 Ti 2.67, 8 Zn 2.76
Ti 0.5000 0.5000 0.5000  4 Si 2.67, 8 Zn 2.76
Zn 0.0000 0.0000 0.5000  4 Zn 2.67, 4 Ti 2.76, 4 Si 2.76
Zn 0.0000 0.5000 0.0000  4 Zn 2.67, 4 Ti 2.76, 4 Si 2.76

Output
Total magnetic moment in μB per formula unit: 0.000
SG: P4/mmm (123)
Raw formation energy in eV/atom: -0.306
Raw total energy in eV/atom: -4.273

---

DFT (PBE-GGA) results for a relaxed structure of AlFe3Ni4.

Cell: 3.5887 3.5888 7.5595 Å, 103.78 103.77 90.03°
With the nearest neighbours (Å) after each atom.
Element x y z (fractional)
Ni 0.1253 0.1250 0.2509  6 Fe 2.50-2.54, 2 Al 2.53, 4 Ni 2.54
Fe 0.7479 0.2479 0.4958  8 Ni 2.50-2.54, 4 Fe 2.54
Ni 0.6253 0.6250 0.2509  6 Fe 2.50-2.54, 2 Al 2.53, 4 Ni 2.54
Fe 0.0000 0.5000 0.0000  8 Ni 2.53, 4 Al 2.54
Fe 0.2521 0.7521 0.5042  8 Ni 2.50-2.54, 4 Fe 2.54
Al 0.5000 0.0000 0.0000  8 Ni 2.53, 4 Fe 2.54
Ni 0.8747 0.8750 0.7491  6 Fe 2.50-2.54, 2 Al 2.53, 4 Ni 2.54
Ni 0.3747 0.3750 0.7491  6 Fe 2.50-2.54, 2 Al 2.53, 4 Ni 2.54

Output
Total magnetic moment in μB per formula unit: 9.408
Energy relative to the elements in eV per atom: -0.189
SG: I4/mmm (139)
Raw total energy in eV/atom: -6.721

---

DFT (PBE-GGA) results for a relaxed structure of KBeVSe3.

Cell: 3.6037 8.9883 9.2670 Å, 114.78 90.00 90.00°
With the nearest neighbours (Å) after each atom.
Element x y z (fractional)
Se 0.2500 0.8038 0.4575  3 Be 2.24-2.31
Se 0.7500 0.8456 0.1389  1 Be 2.20
V 0.7500 0.3751 0.8881  5 Se 2.44-2.61
Se 0.7500 0.1962 0.5425  3 Be 2.24-2.31
Be 0.2500 0.0846 0.6029  4 Se 2.20-2.31
Be 0.7500 0.9154 0.3971  4 Se 2.20-2.31
K 0.2500 0.1906 0.2357  7 Se 3.32-3.37, 2 K 3.60
Se 0.2500 0.1544 0.8611  1 Be 2.20
Se 0.2500 0.5301 0.8240  3 V 2.44-2.50
Se 0.7500 0.4699 0.1760  3 V 2.44-2.50
V 0.2500 0.6249 0.1119  5 Se 2.44-2.61
K 0.7500 0.8094 0.7643  7 Se 3.32-3.37, 2 K 3.60

Output
Total magnetic moment in μB per formula unit: 0.455
SG: P2_1/m (11)
Raw formation energy in eV/atom: -0.859
Raw total energy in eV/atom: -4.925

---

DFT (PBE-GGA) results for a relaxed structure of VCoAs2Pb.

Cell: 4.6599 5.3557 4.6599 Å, 90.00 90.00 90.00°
With the nearest neighbours (Å) after each atom.
Element x y z (fractional)
As 0.5000 0.0000 0.0000  2 V 2.33
As 0.0000 0.0000 0.5000  2 V 2.33
V 0.0000 0.0000 0.0000  4 As 2.33
Pb 0.0000 0.5000 0.0000  2 V 2.68
Co 0.5000 0.5000 0.5000  4 Pb 3.30, 8 As 3.55

Output
Total magnetic moment in μB per formula unit: 2.333
Energy relative to the elements in eV per atom: 0.753
SG: P4/mmm (123)
Raw total energy in eV/atom: -5.093

---

DFT (PBE-GGA) results for a relaxed structure of Pm4TmTl2.

Cell: 6.1291 6.1291 7.2372 Å, 105.83 105.83 110.84°
With the nearest neighbours (Å) after each atom.
Element x y z (fractional)
Pm 0.7500 0.2500 0.5000  4 Pm 3.17-3.48, 4 Tl 3.43
Pm 0.5000 0.0000 0.0000  2 Tm 3.06, 2 Pm 3.17
Tl 0.3709 0.3709 0.7418  1 Tl 3.28, 8 Pm 3.43-3.48
Pm 0.2500 0.7500 0.5000  4 Pm 3.17-3.48, 4 Tl 3.43
Tm 0.0000 0.0000 0.0000  4 Pm 3.06
Pm 0.0000 0.5000 0.0000  2 Tm 3.06, 2 Pm 3.17
Tl 0.6291 0.6291 0.2582  1 Tl 3.28, 8 Pm 3.43-3.48

Output
Offset from the most stable computed form in meV/atom: 84
Total magnetic moment in μB per formula unit: 0.000
Energy relative to the elements in eV per atom: 0.111
SG: Fmmm (69)
Raw total energy in eV/atom: -3.918

---

DFT (PBE-GGA) results for a relaxed structure of LiTiTe2I.

Cell: 5.3217 5.3217 5.9340 Å, 90.00 90.00 90.00°
With the nearest neighbours (Å) after each atom.
Element x y z (fractional)
Te 0.0000 0.5000 0.0000  2 Ti 2.66
Li 0.5000 0.5000 0.5000  4 I 3.76, 8 Te 3.99
I 0.0000 0.0000 0.5000  2 Ti 2.97
Ti 0.0000 0.0000 0.0000  4 Te 2.66, 2 I 2.97
Te 0.5000 0.0000 0.0000  2 Ti 2.66

Output
Offset from the most stable computed form in meV/atom: 0
Total magnetic moment in μB per formula unit: 0.311
SG: P4/mmm (123)
Raw formation energy in eV/atom: -0.409
Raw total energy in eV/atom: -3.937

---

DFT (PBE-GGA) results for a relaxed structure of TcIr3Rh.

Cell: 2.7229 8.0981 8.2676 Å, 80.07 99.47 59.68°
With the nearest neighbours (Å) after each atom.
Element x y z (fractional)
Ir 0.0700 0.1782 0.3806  6 Ir 2.61-2.92, 2 Tc 2.69, 4 Rh 2.79-2.84
Ir 0.4453 0.0396 0.7150  6 Ir 2.61-2.92, 2 Tc 2.69, 4 Rh 2.79-2.84
Tc 0.7353 0.0020 0.1811  6 Ir 2.58-2.69, 4 Tc 2.62-2.72, 1 Rh 2.72
Tc 0.7800 0.2158 0.9145  6 Ir 2.58-2.69, 4 Tc 2.62-2.72, 1 Rh 2.72
Rh 0.1809 0.8189 0.5258  7 Ir 2.70-2.84, 1 Tc 2.72, 2 Rh 2.72
Ir 0.4225 0.8144 0.9911  3 Tc 2.68-2.69, 9 Ir 2.69-2.78
Ir 0.1464 0.6030 0.8059  1 Tc 2.58, 3 Rh 2.70-2.72, 6 Ir 2.72-2.78
Ir 0.0928 0.4034 0.1046  3 Tc 2.68-2.69, 9 Ir 2.70-2.78
Rh 0.3345 0.3989 0.5698  7 Ir 2.70-2.84, 1 Tc 2.72, 2 Rh 2.72
Ir 0.3689 0.6147 0.2898  1 Tc 2.58, 3 Rh 2.70-2.72, 6 Ir 2.72-2.78

Output
Offset from the most stable computed form in meV/atom: 0
Total magnetic moment in μB per formula unit: 0.000
Energy relative to the elements in eV per atom: 0.041
SG: P-1 (2)
Raw total energy in eV/atom: -8.819